(P)
This record from the Alexandria database describes a relaxed CuAsRu crystal. The functional is PBE-GGA.

Calculated values
ρ   9.0 g cm⁻³

abc: 4.0825 4.0825 3.0579
angles: 90.00 90.00 120.00
Space group P3m1 (No. 156)
Inequivalent atoms, fractional coordinates:
Cu (0.0000, 0.0000, 0.0000) (multiplicity 1)
As (0.3333, 0.6667, 0.5823) (multiplicity 1)
Ru (0.6667, 0.3333, 0.4906) (multiplicity 1)


(Q)
This record from the Alexandria database describes a relaxed CuAsRu crystal. The functional is PBE-GGA.

Calculated values
ρ   8.8 g cm⁻³

abc: 2.996 4.758 12.657
angles: 90.00 90.00 90.00
Space group Fmm2 (No. 42)
Inequivalent atoms, fractional coordinates:
Cu (0.000, 0.000, 0.000) (multiplicity 4)
As (0.000, 0.000, 0.323) (multiplicity 4)
Ru (0.000, 0.000, 0.668) (multiplicity 4)


Stability ranking, top entry: (P); the second entry is 291 meV per atom less favorable.